The following is a DFT calculation (PBE) of a relaxed TbErU crystal.

```
TbErU
1.0
17.0315 0.0000 0.0000
0.0000 3.7065 0.0000
0.0000 0.0000 5.5127
Tb Er U
4 4 4
Direct
0.0909 0.2500 0.0006
0.4091 0.7500 0.5006
0.5909 0.2500 0.4994
0.9091 0.7500 0.9994
0.2290 0.2500 0.5024
0.2710 0.7500 0.0024
0.7290 0.2500 0.9976
0.7710 0.7500 0.4976
0.0494 0.7500 0.5002
0.4506 0.2500 0.0002
0.5494 0.7500 0.9998
0.9506 0.2500 0.4998
```

For the calculated total energy, the calculation gives -6.625 eV per atom. The density of states at the Fermi level is 24.4 states/eV per cell. Its symmetry is Pnma.